GGA+U Cr2P2O7, optimized geometry; E above lowest polymorph = 0.000 kcal/mol of atoms
1.0
-5.253 0.634 9.755
-10.443 -1.651 3.372
1.136 -9.067 2.322
Cr P O
12 12 42
Direct
0.369 0.989 0.810
0.699 0.322 0.977
0.021 0.651 0.161
0.989 0.369 0.310
0.011 0.631 0.690
0.301 0.678 0.023
0.322 0.699 0.477
0.651 0.021 0.661
0.631 0.011 0.190
0.979 0.349 0.839
0.678 0.301 0.523
0.349 0.979 0.339
0.381 0.407 0.324
0.619 0.593 0.676
0.251 0.283 0.532
0.407 0.381 0.824
0.283 0.251 0.032
0.749 0.717 0.468
0.956 0.918 0.853
0.044 0.082 0.147
0.717 0.749 0.968
0.918 0.956 0.353
0.593 0.619 0.176
0.082 0.044 0.647
0.085 0.915 0.750
0.211 0.220 0.423
0.731 0.598 0.556
0.598 0.731 0.056
0.812 0.091 0.913
0.780 0.789 0.077
0.188 0.909 0.087
0.413 0.132 0.607
0.902 0.594 0.366
0.402 0.269 0.944
0.072 0.775 0.965
0.543 0.547 0.093
0.746 0.451 0.784
0.789 0.780 0.577
0.587 0.868 0.393
0.091 0.812 0.413
0.549 0.254 0.716
0.453 0.457 0.407
0.871 0.889 0.258
0.775 0.072 0.465
0.764 0.479 0.240
0.521 0.236 0.260
0.451 0.746 0.284
0.479 0.764 0.740
0.269 0.402 0.444
0.594 0.902 0.866
0.236 0.521 0.760
0.889 0.871 0.758
0.225 0.928 0.535
0.111 0.129 0.242
0.868 0.587 0.893
0.098 0.406 0.634
0.547 0.543 0.593
0.220 0.211 0.923
0.928 0.225 0.035
0.406 0.098 0.134
0.915 0.085 0.250
0.457 0.453 0.907
0.129 0.111 0.742
0.132 0.413 0.107
0.254 0.549 0.216
0.909 0.188 0.587